TbCdCo | PBE | relaxed

Properties
Energy of formation (eV per atom): -0.27
Space-group type: Cmcm
D(E_F) (states/eV per cell): 4.48
Total magnetization (μB per cell): 0.77
Crystal system: orthorhombic

Cell lengths 8.605, 8.605, 3.819 Å; angles 90.00, 90.00, 153.82 degrees
Atoms (fractional coordinates):
Tb1 0.093 0.907 0.750
Tb2 0.907 0.093 0.250
Cd1 0.296 0.704 0.750
Cd2 0.704 0.296 0.250
Co1 0.464 0.536 0.750
Co2 0.536 0.464 0.250

Tb6Cd3Co | PBE | relaxed

Properties
Energy of formation (eV per atom): -0.16
Space-group type: Pnnm
D(E_F) (states/eV per cell): 16.38
Distance to the lowest polymorph of the same formula (kJ/mol of formula units): 26
Total magnetization (μB per cell): 0.00
Crystal system: orthorhombic

Cell lengths 9.124, 11.216, 5.204 Å; angles 90.00, 90.00, 90.00 degrees
Atoms (fractional coordinates):
Tb1 0.017 0.230 0.000
Tb2 0.154 0.076 0.500
Tb3 0.195 0.415 0.500
Tb4 0.305 0.915 0.000
Tb5 0.346 0.576 0.000
Tb6 0.483 0.730 0.500
Tb7 0.517 0.270 0.500
Tb8 0.654 0.424 0.000
Tb9 0.695 0.085 0.000
Tb10 0.805 0.585 0.500
Tb11 0.846 0.924 0.500
Tb12 0.983 0.770 0.000
Cd1 0.000 0.500 0.000
Cd2 0.149 0.723 0.500
Cd3 0.351 0.223 0.000
Cd4 0.500 0.000 0.500
Cd5 0.649 0.777 0.000
Cd6 0.851 0.277 0.500
Co1 0.000 0.000 0.000
Co2 0.500 0.500 0.500

Tb4Cd5Co2 | PBE | relaxed

Properties
Energy of formation (eV per atom): -0.27
Space-group type: P2/m
D(E_F) (states/eV per cell): 7.63
Total magnetization (μB per cell): 0.00
Crystal system: monoclinic

Cell lengths 7.649, 3.599, 9.365 Å; angles 90.00, 94.47, 90.00 degrees
Atoms (fractional coordinates):
Tb1 0.169 0.000 0.338
Tb2 0.211 0.000 0.944
Tb3 0.789 0.000 0.056
Tb4 0.831 0.000 0.662
Cd1 0.179 0.500 0.649
Cd2 0.450 0.500 0.171
Cd3 0.500 0.500 0.500
Cd4 0.550 0.500 0.829
Cd5 0.821 0.500 0.351
Co1 0.069 0.500 0.133
Co2 0.931 0.500 0.867

Tb5CdCo2 | PBE | relaxed

Properties
Energy of formation (eV per atom): -0.20
Space-group type: I4/mcm
D(E_F) (states/eV per cell): 15.02
Total magnetization (μB per cell): 0.00
Crystal system: tetragonal

Cell lengths 8.591, 8.591, 8.591 Å; angles 126.88, 126.88, 78.45 degrees
Atoms (fractional coordinates):
Tb1 0.000 0.000 0.000
Tb2 0.028 0.528 0.820
Tb3 0.209 0.028 0.500
Tb4 0.291 0.791 0.820
Tb5 0.472 0.291 0.500
Tb6 0.500 0.500 0.000
Tb7 0.528 0.709 0.500
Tb8 0.709 0.209 0.180
Tb9 0.791 0.972 0.500
Tb10 0.972 0.472 0.180
Cd1 0.250 0.250 0.000
Cd2 0.750 0.750 0.000
Co1 0.137 0.363 0.500
Co2 0.363 0.863 0.227
Co3 0.637 0.137 0.773
Co4 0.863 0.637 0.500

Tb12Cd6Co | PBE | relaxed

Properties
Energy of formation (eV per atom): -0.09
Space-group type: R-3
D(E_F) (states/eV per cell): 19.07
Total magnetization (μB per cell): 0.00
Crystal system: trigonal

Cell lengths 8.245, 8.245, 8.245 Å; angles 94.64, 94.64, 94.64 degrees
Atoms (fractional coordinates):
Tb1 0.038 0.927 0.703
Tb2 0.073 0.297 0.962
Tb3 0.191 0.410 0.524
Tb4 0.297 0.962 0.073
Tb5 0.410 0.524 0.191
Tb6 0.476 0.809 0.590
Tb7 0.524 0.191 0.410
Tb8 0.590 0.476 0.809
Tb9 0.703 0.038 0.927
Tb10 0.809 0.590 0.476
Tb11 0.927 0.703 0.038
Tb12 0.962 0.073 0.297
Cd1 0.153 0.760 0.359
Cd2 0.240 0.641 0.847
Cd3 0.359 0.153 0.760
Cd4 0.641 0.847 0.240
Cd5 0.760 0.359 0.153
Cd6 0.847 0.240 0.641
Co1 0.500 0.500 0.500

Tb8CdCo2 | PBE | relaxed

Properties
Energy of formation (eV per atom): -0.07
Space-group type: C2/m
D(E_F) (states/eV per cell): 12.73
Total magnetization (μB per cell): 0.00
Crystal system: monoclinic

Cell lengths 7.876, 7.876, 5.366 Å; angles 97.04, 97.04, 113.99 degrees
Atoms (fractional coordinates):
Tb1 0.112 0.112 0.801
Tb2 0.169 0.431 0.428
Tb3 0.249 0.751 0.000
Tb4 0.431 0.169 0.428
Tb5 0.569 0.831 0.572
Tb6 0.751 0.249 0.000
Tb7 0.831 0.569 0.572
Tb8 0.888 0.888 0.199
Cd1 0.500 0.500 0.000
Co1 0.195 0.805 0.500
Co2 0.805 0.195 0.500

Tb5Cd2Co | PBE | relaxed

Properties
Energy of formation (eV per atom): 0.01
Space-group type: Cmcm
D(E_F) (states/eV per cell): 18.98
Total magnetization (μB per cell): 0.58
Crystal system: orthorhombic

Cell lengths 6.727, 6.727, 12.610 Å; angles 90.00, 90.00, 130.32 degrees
Atoms (fractional coordinates):
Tb1 0.080 0.920 0.606
Tb2 0.080 0.920 0.894
Tb3 0.370 0.630 0.565
Tb4 0.370 0.630 0.935
Tb5 0.409 0.591 0.250
Tb6 0.591 0.409 0.750
Tb7 0.630 0.370 0.065
Tb8 0.630 0.370 0.435
Tb9 0.920 0.080 0.106
Tb10 0.920 0.080 0.394
Cd1 0.185 0.815 0.137
Cd2 0.185 0.815 0.363
Cd3 0.815 0.185 0.637
Cd4 0.815 0.185 0.863
Co1 0.235 0.765 0.750
Co2 0.765 0.235 0.250

Tb11Cd9Co4 | PBE | relaxed

Properties
Energy of formation (eV per atom): -0.29
Space-group type: Cmmm
D(E_F) (states/eV per cell): 20.83
Total magnetization (μB per cell): 0.29
Crystal system: orthorhombic

Cell lengths 13.045, 13.045, 3.591 Å; angles 90.00, 90.00, 112.52 degrees
Atoms (fractional coordinates):
Tb1 0.000 0.000 0.000
Tb2 0.088 0.419 0.000
Tb3 0.160 0.840 0.000
Tb4 0.312 0.312 0.000
Tb5 0.374 0.626 0.000
Tb6 0.419 0.088 0.000
Tb7 0.581 0.912 0.000
Tb8 0.626 0.374 0.000
Tb9 0.688 0.688 0.000
Tb10 0.840 0.160 0.000
Tb11 0.912 0.581 0.000
Cd1 0.078 0.219 0.500
Cd2 0.157 0.634 0.500
Cd3 0.219 0.078 0.500
Cd4 0.366 0.843 0.500
Cd5 0.500 0.500 0.500
Cd6 0.634 0.157 0.500
Cd7 0.781 0.922 0.500
Cd8 0.843 0.366 0.500
Cd9 0.922 0.781 0.500
Co1 0.254 0.453 0.500
Co2 0.453 0.254 0.500
Co3 0.547 0.746 0.500
Co4 0.746 0.547 0.500

Tb2Cd3Co2 | PBE | relaxed

Properties
Energy of formation (eV per atom): -0.22
Space-group type: Cmmm
D(E_F) (states/eV per cell): 5.54
Total magnetization (μB per cell): 1.05
Crystal system: orthorhombic

Cell lengths 10.364, 10.364, 3.831 Å; angles 90.00, 90.00, 158.82 degrees
Atoms (fractional coordinates):
Tb1 0.173 0.827 0.000
Tb2 0.827 0.173 0.000
Cd1 0.000 0.000 0.000
Cd2 0.421 0.579 0.500
Cd3 0.579 0.421 0.500
Co1 0.281 0.719 0.500
Co2 0.719 0.281 0.500

TbYCdCo | PBE | relaxed

Properties
Energy of formation (eV per atom): -0.25
Space-group type: P4mm
D(E_F) (states/eV per cell): 2.36
Distance to the lowest polymorph of the same formula (kJ/mol of formula units): 0
Total magnetization (μB per cell): 0.53
Crystal system: tetragonal

Cell lengths 3.448, 3.448, 7.638 Å; angles 90.00, 90.00, 90.00 degrees
Atoms (fractional coordinates):
Tb1 0.000 0.000 0.000
Y1 0.000 0.000 0.574
Cd1 0.500 0.500 0.288
Co1 0.500 0.500 0.788

TbYCdCo | PBE | relaxed

Properties
Energy of formation (eV per atom): -0.14
Space-group type: F-43m
D(E_F) (states/eV per cell): 2.81
Distance to the lowest polymorph of the same formula (kJ/mol of formula units): 41
Total magnetization (μB per cell): 0.53
Crystal system: cubic

Cell lengths 5.051, 5.051, 5.051 Å; angles 60.00, 60.00, 60.00 degrees
Atoms (fractional coordinates):
Tb1 0.000 0.000 0.000
Y1 0.500 0.500 0.500
Cd1 0.750 0.750 0.750
Co1 0.250 0.250 0.250

Cd4CoTc | PBE | relaxed

Properties
Energy of formation (eV per atom): 0.72
Space-group type: F-43m
D(E_F) (states/eV per cell): 2.42
Total magnetization (μB per cell): 4.32
Crystal system: cubic

Cell lengths 5.479, 5.479, 5.479 Å; angles 60.00, 60.00, 60.00 degrees
Atoms (fractional coordinates):
Cd1 0.125 0.125 0.125
Cd2 0.125 0.125 0.625
Cd3 0.125 0.625 0.125
Cd4 0.625 0.125 0.125
Co1 0.750 0.750 0.750
Tc1 0.500 0.500 0.500

Question: What is the D(E_F) in the seventh record?
Answer: 18.98 states/eV per cell

Question: Which of these has the highest energy of formation?
Answer: Cd4CoTc

Question: The lowest D(E_F) belongs to which entry?
Answer: number 10

Question: Which formula does entry 4 have?
Answer: Tb5CdCo2